The following is a DFT calculation (PBE+U) of a geometry-optimized VZnNO2 structure.

a b c (Å): 3.673 3.673 4.047
angles (deg): 90.00 90.00 90.00
Fractional coordinates of all 5 atoms:
V 0.000 0.000 0.000
Zn 0.500 0.500 0.500
N 0.000 0.000 0.500
O 0.000 0.500 0.000
O 0.500 0.000 0.000

Calculated values
Raw total energy (eV per atom): -5.9243
M_tot (μB per atom): 0.0026
Space group: P4/mmm (123)
N(E_F) (states/eV per cell): 1.13
Calculated volume (A^3/atom): 10.92